1.
# Ac5HPb3

A relaxed Ac5HPb3 crystal (PBE, Alexandria via LeMat-Bulk).

```
18
Lattice="-4.920 4.743 -2.403 -7.176 -6.783 1.307 2.381 6.221 7.406" Properties=species:S:1:pos:R:3 pbc="T T T"
Ac -4.851 0.761 5.978
Ac -4.865 3.419 0.332
Ac -3.265 4.258 4.171
Pb -5.598 -2.943 0.195
Ac -6.451 -0.077 2.138
Pb -6.498 0.903 -1.291
Pb -2.759 5.991 1.096
Ac -9.109 -1.565 -0.815
Ac -3.991 -2.448 3.340
H -2.460 2.371 -1.201
Ac -1.893 8.255 3.790
Pb -3.106 0.966 2.808
Pb 0.219 4.973 3.907
Pb -6.609 3.215 3.501
H 0.000 0.000 0.000
Ac -2.987 -0.476 -0.281
Ac -0.647 2.709 1.213
Ac -0.805 1.887 5.373
```

Output
DOS(E_F)	13.57	states/eV/cell
E_tot	-79.08	eV/cell
magnetic moment	0.001	μB/f.u.
theoretical density	9.4	g/cm3


2.
# Pu2GaPt6

A relaxed Pu2GaPt6 crystal (PBE, Alexandria via LeMat-Bulk).

```
9
Lattice="5.614 0.000 0.000 -2.807 4.703 1.099 0.000 0.053 6.361" Properties=species:S:1:pos:R:3 pbc="T T T"
Pu 0.000 3.374 6.285
Ga 0.000 0.000 0.000
Pu 2.807 1.382 1.175
Pt 1.442 1.291 4.652
Pt 0.000 1.161 2.226
Pt 4.172 1.291 4.652
Pt 2.807 3.595 5.234
Pt 1.365 3.464 2.809
Pt -1.365 3.464 2.809
```

Output
DOS(E_F)	21.76	states/eV/cell
energy of formation	-0.7402	eV/atom
magnetic moment	10.058	μB/f.u.
theoretical density	17.1	g/cm3


3.
# LiAsCl5

A relaxed LiAsCl5 crystal (PBE, Alexandria via LeMat-Bulk).

```
14
Lattice="6.458 -1.341 0.675 0.778 6.550 0.675 3.423 2.464 9.154" Properties=species:S:1:pos:R:3 pbc="T T T"
Cl 5.199 3.646 8.167
Cl 3.963 5.920 5.304
As 1.711 1.232 4.577
Cl 5.459 4.028 2.337
Cl 3.362 8.373 7.541
Li 5.695 1.524 2.964
Cl 5.498 7.025 9.777
Li 4.964 6.149 7.541
Cl 5.160 0.648 0.728
As 0.000 0.000 0.000
Cl 6.695 1.753 5.200
Cl 3.396 2.542 3.590
Cl 7.296 -0.700 2.964
Cl 7.263 5.131 6.914
```

Output
formation energy (no corrections)	-0.794	eV/atom
DOS(E_F)	2.34	states/eV/cell
magnetic moment	0.000	μB/f.u.
theoretical density	2.3	g/cm3


4.
# LaGa5Ni3

A relaxed LaGa5Ni3 crystal (PBE, Alexandria via LeMat-Bulk).

```
18
Lattice="3.984 0.000 0.000 -1.992 6.178 0.000 0.000 0.000 12.348" Properties=species:S:1:pos:R:3 pbc="T T T"
Ni 1.992 1.325 0.422
Ni 0.000 4.853 11.927
Ga 0.000 2.531 7.001
Ga 0.000 0.000 0.000
Ga 0.000 0.000 6.174
Ni 0.000 4.853 6.596
La 1.992 4.029 9.261
Ga 1.992 3.647 5.347
La 0.000 2.149 3.087
Ga 0.000 5.570 4.298
Ni 1.992 4.637 3.087
Ga 1.992 0.608 8.051
Ga 1.992 3.647 0.827
Ni 1.992 1.325 5.753
Ga 1.992 0.608 10.472
Ga 0.000 5.570 1.877
Ni 0.000 1.541 9.261
Ga 0.000 2.531 11.522
```

Output
DOS(E_F)	8.34	states/eV/cell
energy of formation	-0.4463	eV/atom
magnetic moment	0.000	μB/f.u.
theoretical density	7.3	g/cm3


5.
# ZrInMo4

A relaxed ZrInMo4 crystal (PBE, Alexandria via LeMat-Bulk).

```
6
Lattice="0.000 3.789 3.789 3.789 0.000 3.789 3.789 3.789 0.000" Properties=species:S:1:pos:R:3 pbc="T T T"
Mo 2.838 4.741 4.741
Mo 4.741 2.838 4.741
Zr 5.684 5.684 5.684
Mo 2.838 2.838 2.838
Mo 4.741 4.741 2.838
In 0.000 0.000 0.000
```

Output
DOS(E_F)	5.28	states/eV/cell
energy of formation	0.0539	eV/atom
magnetic moment	0.000	μB/f.u.
theoretical density	9.0	g/cm3


6.
# BeIrRu3

A relaxed BeIrRu3 crystal (PBE, Alexandria via LeMat-Bulk).

```
5
Lattice="-2.780 2.386 2.902 0.148 -3.537 3.051 3.754 1.907 2.028" Properties=species:S:1:pos:R:3 pbc="T T T"
Ru 0.074 -1.769 1.525
Ru 1.877 0.953 1.014
Ru -1.390 1.193 1.451
Be 0.561 0.378 3.991
Ir 0.000 0.000 0.000
```

Output
DOS(E_F)	6.60	states/eV/cell
energy of formation	2.0270	eV/atom
magnetic moment	0.694	μB/f.u.
theoretical density	8.2	g/cm3


7.
# Pr3Nd3Dy4

A relaxed Pr3Nd3Dy4 crystal (PBE, Alexandria via LeMat-Bulk).

```
10
Lattice="-0.203 -2.627 -2.587 7.881 3.657 -4.333 5.641 -5.761 5.407" Properties=species:S:1:pos:R:3 pbc="T T T"
Dy 7.036 0.105 -0.659
Dy 1.660 -0.253 0.127
Nd 9.573 -3.933 3.242
Pr 9.024 -2.735 -0.567
Nd 2.829 -2.884 2.706
Pr 7.388 0.698 -3.925
Pr 4.294 -1.999 -0.943
Nd 5.931 -5.429 2.411
Dy 6.485 -2.214 1.738
Dy 11.864 -1.841 0.937
```

Output
DOS(E_F)	9.70	states/eV/cell
energy of formation	0.0937	eV/atom
magnetic moment	0.391	μB/f.u.
theoretical density	7.2	g/cm3


8.
# NaThBiO2

A relaxed NaThBiO2 crystal (PBE, Alexandria via LeMat-Bulk).

```
5
Lattice="-1.406 -2.776 2.562 0.081 -2.756 -2.941 7.750 0.937 2.097" Properties=species:S:1:pos:R:3 pbc="T T T"
O 2.746 -2.278 2.210
O 3.489 -2.268 -0.542
Th 2.626 -0.678 0.707
Bi -0.615 -2.778 -0.176
Na 3.941 -3.954 1.050
```

Output
formation energy (no corrections)	-2.072	eV/atom
DOS(E_F)	1.58	states/eV/cell
magnetic moment	0.000	μB/f.u.
theoretical density	6.7	g/cm3


9.
# CaVOsCl2

A relaxed CaVOsCl2 crystal (PBE, Alexandria via LeMat-Bulk).

```
5
Lattice="4.936 0.000 0.000 0.000 7.010 0.000 0.000 0.000 4.936" Properties=species:S:1:pos:R:3 pbc="T T T"
Cl 0.000 0.000 2.468
V 0.000 3.505 0.000
Ca 0.000 0.000 0.000
Os 2.468 3.505 2.468
Cl 2.468 0.000 0.000
```

Output
formation energy (no corrections)	0.990	eV/atom
DOS(E_F)	8.60	states/eV/cell
magnetic moment	6.945	μB/f.u.
theoretical density	3.4	g/cm3


10.
# PmDy8Er6

A relaxed PmDy8Er6 crystal (PBE, Alexandria via LeMat-Bulk).

```
15
Lattice="8.978 0.000 0.000 4.489 7.775 0.000 4.489 2.592 6.831" Properties=species:S:1:pos:R:3 pbc="T T T"
Er 12.887 5.871 6.008
Er 15.405 8.225 6.008
Er 5.069 4.496 0.822
Er 2.550 2.142 0.822
Dy 8.978 5.183 4.985
Dy 11.824 6.698 2.900
Pm 0.000 0.000 0.000
Dy 8.978 5.183 1.846
Dy 8.866 1.961 2.900
Er 12.107 9.229 6.008
Dy 11.713 3.475 3.931
Dy 9.089 8.406 3.931
Dy 6.131 3.669 3.931
Er 5.848 1.137 0.822
Dy 6.243 6.891 2.900
```

Output
DOS(E_F)	22.78	states/eV/cell
energy of formation	0.1345	eV/atom
magnetic moment	0.000	μB/f.u.
theoretical density	8.5	g/cm3


11.
# LaPrSmCd

A relaxed LaPrSmCd crystal (PBE, Alexandria via LeMat-Bulk).

```
4
Lattice="3.768 0.000 0.000 0.000 3.768 0.000 0.000 0.000 9.148" Properties=species:S:1:pos:R:3 pbc="T T T"
Cd 0.000 0.000 5.130
La 1.884 1.884 7.277
Sm 1.884 1.884 3.203
Pr 0.000 0.000 0.717
```

Output
DOS(E_F)	4.47	states/eV/cell
energy of formation	-0.1541	eV/atom
magnetic moment	0.000	μB/f.u.
theoretical density	6.9	g/cm3


12.
# Te3Br

A relaxed Te3Br crystal (PBE, Alexandria via LeMat-Bulk).

```
4
Lattice="5.439 0.258 0.806 -2.211 4.976 0.806 -2.211 -3.585 3.544" Properties=species:S:1:pos:R:3 pbc="T T T"
Te 1.614 -1.663 2.175
Te -2.211 0.696 2.175
Te 1.614 2.617 0.806
Br 0.000 0.000 0.000
```

Output
formation energy (no corrections)	0.199	eV/atom
DOS(E_F)	4.13	states/eV/cell
magnetic moment	0.000	μB/f.u.
theoretical density	6.0	g/cm3


13.
# K3La2PmTe6

A relaxed K3La2PmTe6 crystal (PBE, Alexandria via LeMat-Bulk).

```
12
Lattice="-5.970 4.778 -2.656 -0.579 -8.033 -0.814 -1.475 0.603 8.517" Properties=species:S:1:pos:R:3 pbc="T T T"
La -4.172 0.505 -2.041
Te -7.048 0.088 3.731
Pm 0.000 0.000 0.000
Te -5.278 -4.117 4.335
K -5.804 2.930 1.912
Te -2.836 -0.361 5.793
K -4.012 -1.326 2.524
Te -2.746 1.465 0.712
K -2.221 -5.582 3.136
La -2.377 -3.760 -1.428
Te -5.189 -2.291 -0.746
Te -0.977 -2.740 1.317
```

Output
formation energy (no corrections)	-1.471	eV/atom
DOS(E_F)	0.00	states/eV/cell
magnetic moment	0.000	μB/f.u.
theoretical density	4.6	g/cm3


14.
# SrEuCuSb

A relaxed SrEuCuSb crystal (PBE, Alexandria via LeMat-Bulk).

```
4
Lattice="-0.258 -5.329 -1.267 4.454 -2.591 -1.875 2.552 -3.693 3.148" Properties=species:S:1:pos:R:3 pbc="T T T"
Sb 5.061 -8.710 0.004
Eu 3.374 -5.806 0.003
Sr 0.000 0.000 0.000
Cu 1.687 -2.903 0.001
```

Output
formation energy (no corrections)	-0.563	eV/atom
DOS(E_F)	10.12	states/eV/cell
magnetic moment	7.015	μB/f.u.
theoretical density	6.1	g/cm3


15.
# Tb3In3Ru2Rh

A relaxed Tb3In3Ru2Rh crystal (PBE, Alexandria via LeMat-Bulk).

```
9
Lattice="3.988 0.000 0.000 0.000 7.483 0.000 0.000 -3.741 6.480" Properties=species:S:1:pos:R:3 pbc="T T T"
In 1.994 -2.779 4.814
Ru 1.994 3.741 2.160
Tb 0.000 2.212 3.832
Tb 0.000 -1.529 2.648
In 1.994 5.559 0.000
Tb 0.000 3.058 0.000
Ru 1.994 0.000 4.320
In 1.994 0.962 1.666
Rh 0.000 0.000 0.000
```

Output
DOS(E_F)	8.00	states/eV/cell
energy of formation	-0.4913	eV/atom
magnetic moment	0.000	μB/f.u.
theoretical density	9.7	g/cm3


16.
# Co2TcBr

A relaxed Co2TcBr crystal (PBE, Alexandria via LeMat-Bulk).

```
4
Lattice="2.900 0.000 0.000 0.000 4.436 0.000 0.000 0.000 4.374" Properties=species:S:1:pos:R:3 pbc="T T T"
Br 0.000 2.218 2.187
Tc 1.450 0.000 2.187
Co 0.000 0.000 0.000
Co 1.450 2.218 0.000
```

Output
formation energy (no corrections)	0.860	eV/atom
DOS(E_F)	5.13	states/eV/cell
magnetic moment	4.200	μB/f.u.
theoretical density	8.7	g/cm3